A relaxed structure of CaAc2TbO6, computed with PBE.

Computed properties:
Energy relative to the elements, uncorrected in meV per atom: -3066

```
data_CaAc2TbO6
_chemical_formula_sum 'Ca2 Ac4 Tb2 O12'
_cell_length_a 6.055
_cell_length_b 6.254
_cell_length_c 10.593
_cell_angle_alpha 90.00
_cell_angle_beta 124.31
_cell_angle_gamma 90.00
_space_group_name_H-M_alt 'P 1 21/c 1'
_space_group_IT_number 14
_space_group_name_Hall '-P 2ybc'
loop_
_atom_site_label
_atom_site_fract_x
_atom_site_fract_y
_atom_site_fract_z
Ca1 0.000 0.000 0.000
Ac1 0.227 0.053 0.747
Tb1 0.500 0.000 0.500
O1 0.132 0.190 0.435
O2 0.233 0.703 0.425
O3 0.385 0.067 0.256
```